This record from Alexandria via LeMat-Bulk describes crystalline ZnAsIrO2 at its relaxed geometry. The functional is PBE-GGA.

The value obtained for the uncorrected energy is -4.51 eV/atom. Its raw formation energy is 2.159 eV/f.u. Its volume is 93.0 Å³/cell.

The structure belongs to space group P4/mmm (No. 123); the cell edges are 3.600, 3.600 and 7.177 Å and the angles 90.00°, 90.00° and 90.00°. The distinct sites, in fractional coordinates, are Zn at (0.000, 0.000, 0.000), As at (0.000, 0.000, 0.500), Ir at (0.500, 0.500, 0.500) and O at (0.000, 0.500, 0.000).


This record from Alexandria via LeMat-Bulk describes crystalline ZrAs2IrO at its relaxed geometry. The functional is PBE-GGA.

The value obtained for the uncorrected energy is -6.40 eV/atom. Its raw formation energy is -0.324 eV/f.u. Its volume is 80.6 Å³/cell.

The structure belongs to space group P4/mmm (No. 123); the cell edges are 4.478, 4.478 and 4.022 Å and the angles 90.00°, 90.00° and 90.00°. The distinct sites, in fractional coordinates, are Zr at (0.000, 0.000, 0.000), As at (0.000, 0.500, 0.500), Ir at (0.500, 0.500, 0.000) and O at (0.500, 0.500, 0.500).